[1]
Entry from the Alexandria database: a relaxed structure of Y2Be2Pt (GGA-PBE).

Geometry as POSCAR:
```
Y2Be2Pt
1.0
-4.318 -4.122 3.021
1.544 -4.822 -4.373
2.935 -1.280 2.448
Y Be Pt
4 4 2
direct
0.817 0.317 0.500 Y
0.317 0.183 0.500 Y
0.683 0.817 0.500 Y
0.183 0.683 0.500 Y
0.115 0.385 0.000 Be
0.615 0.115 0.000 Be
0.385 0.885 0.000 Be
0.885 0.615 0.000 Be
0.500 0.500 0.000 Pt
0.000 0.000 0.000 Pt
```

=====

[2]
Entry from the Alexandria database: a relaxed structure of Y2Be7Pt12 (GGA-PBE).

Geometry as POSCAR:
```
Y2Be7Pt12
1.0
3.822 0.000 0.000
0.000 8.248 -4.762
0.000 0.000 9.524
Be Pt Y
7 12 2
direct
0.000 0.223 0.268 Be
0.500 0.622 0.560 Be
0.500 0.938 0.378 Be
0.500 0.440 0.062 Be
0.000 0.732 0.955 Be
0.000 0.045 0.777 Be
0.000 0.333 0.667 Be
0.500 0.887 0.606 Pt
0.000 0.060 0.546 Pt
0.500 0.201 0.428 Pt
0.000 0.486 0.940 Pt
0.500 0.394 0.282 Pt
0.000 0.958 0.223 Pt
0.000 0.265 0.042 Pt
0.000 0.454 0.514 Pt
0.500 0.227 0.799 Pt
0.500 0.572 0.773 Pt
0.000 0.777 0.735 Pt
0.500 0.718 0.113 Pt
0.000 0.667 0.333 Y
0.500 0.000 0.000 Y
```

=====

Energy relative to the elements per entry: -0.3953; -0.7991 eV/atom
E per entry: -28.398; -128.283 eV per formula unit
M_tot per entry: 0.000; 0.000 μB/cell